1) # LiAuF3 | the Alexandria database | GGA-PBE | relaxed
data_LiAuF3
_chemical_formula_sum 'Li8 Au8 F24'
_symmetry_space_group_name_H-M 'C 1 2/c 1'
_symmetry_Int_Tables_number 15
_symmetry_space_group_name_Hall '-C 2yc'
_cell_length_a 10.7633
_cell_length_b 9.8803
_cell_length_c 5.4289
_cell_angle_alpha 90.00
_cell_angle_beta 91.33
_cell_angle_gamma 90.00
loop_
_atom_site_label
_atom_site_fract_x
_atom_site_fract_y
_atom_site_fract_z
Li1 0.0000 0.0455 0.2500
Li2 0.0000 0.4414 0.7500
Au1 0.2476 0.3477 0.2662
F1 0.1058 0.4401 0.4667
F2 0.1076 0.0592 0.5290
F3 0.1338 0.2513 0.9888
# * theoretical density: 6.0 g cm⁻³


2) # LiAuF3 | the Alexandria database | GGA-PBE | relaxed
data_LiAuF3
_chemical_formula_sum 'Li2 Au2 F6'
_symmetry_space_group_name_H-M 'P -3 1 m'
_symmetry_Int_Tables_number 162
_symmetry_space_group_name_Hall '-P 3 2'
_cell_length_a 5.5278
_cell_length_b 5.5278
_cell_length_c 5.5466
_cell_angle_alpha 90.00
_cell_angle_beta 90.00
_cell_angle_gamma 120.00
loop_
_atom_site_label
_atom_site_fract_x
_atom_site_fract_y
_atom_site_fract_z
Li1 0.3333 0.6667 0.0000
Au1 0.0000 0.0000 0.2507
F1 0.0000 0.3798 0.7938
# * theoretical density: 5.9 g cm⁻³


3) # LiAuF3 | the Alexandria database | GGA-PBE | relaxed
data_LiAuF3
_chemical_formula_sum 'Li1 Au1 F3'
_symmetry_space_group_name_H-M 'P m -3 m'
_symmetry_Int_Tables_number 221
_symmetry_space_group_name_Hall '-P 4 2 3'
_cell_length_a 4.4324
_cell_length_b 4.4324
_cell_length_c 4.4324
_cell_angle_alpha 90.00
_cell_angle_beta 90.00
_cell_angle_gamma 90.00
loop_
_atom_site_label
_atom_site_fract_x
_atom_site_fract_y
_atom_site_fract_z
Li1 0.0000 0.0000 0.0000
Au1 0.5000 0.5000 0.5000
F1 0.0000 0.5000 0.5000
# * theoretical density: 5.0 g cm⁻³


Short version: 3) is the least stable of them.


1) # LiAuF6 | the Alexandria database | GGA-PBE | relaxed
data_LiAuF6
_chemical_formula_sum 'Li2 Au2 F12'
_symmetry_space_group_name_H-M 'P -3 1 c'
_symmetry_Int_Tables_number 163
_symmetry_space_group_name_Hall '-P 3 2c'
_cell_length_a 5.0444
_cell_length_b 5.0444
_cell_length_c 9.5075
_cell_angle_alpha 90.00
_cell_angle_beta 90.00
_cell_angle_gamma 120.00
loop_
_atom_site_label
_atom_site_fract_x
_atom_site_fract_y
_atom_site_fract_z
Li1 0.3333 0.6667 0.2500
Au1 0.0000 0.0000 0.0000
F1 0.0130 0.3205 0.1197
# * theoretical density: 5.0 g cm⁻³


2) # LiAuF6 | the Alexandria database | GGA-PBE | relaxed
data_LiAuF6
_chemical_formula_sum 'Li3 Au3 F18'
_symmetry_space_group_name_H-M 'R -3'
_symmetry_Int_Tables_number 148
_symmetry_space_group_name_Hall '-R 3'
_cell_length_a 5.1356
_cell_length_b 5.1356
_cell_length_c 13.8672
_cell_angle_alpha 90.00
_cell_angle_beta 90.00
_cell_angle_gamma 120.00
loop_
_atom_site_label
_atom_site_fract_x
_atom_site_fract_y
_atom_site_fract_z
Li1 0.0000 0.0000 0.0000
Au1 0.0000 0.0000 0.5000
F1 0.0142 0.3681 0.2483
# * theoretical density: 5.0 g cm⁻³


Short version: 1) is the least stable of them.